[1]
First-principles (PBE) data for a geometry-optimized RbAlPb structure, as listed in Alexandria via LeMat-Bulk.

Geometry as POSCAR:
```
RbAlPb
1.0
-3.000 -0.042 2.641
2.473 -0.929 3.000
2.010 13.416 2.498
Pb Al Rb
2 2 2
Direct
0.751 0.751 0.350
0.249 0.249 0.650
0.251 0.251 0.445
0.749 0.749 0.555
0.250 0.250 0.157
0.750 0.750 0.843
```

DOS(E_F)	1.26	states/eV/f.u.
ΔH_f (0 K)	0.066	eV per atom
crystal system	monoclinic
volume	36.71	A^3/atom



[2]
First-principles (PBE) data for a geometry-optimized Rb2AlPb structure, as listed in Alexandria via LeMat-Bulk.

Geometry as POSCAR:
```
Rb2AlPb
1.0
0.000 4.348 4.348
4.348 0.000 4.348
4.348 4.348 0.000
Rb Pb Al
2 1 1
Direct
0.250 0.250 0.250
0.750 0.750 0.750
0.500 0.500 0.500
0.000 0.000 0.000
```

DOS(E_F)	5.59	states/eV/f.u.
ΔH_f (0 K)	0.379	eV per atom
energy above the lowest structure with this stoichiometry	192	meV/atom
crystal system	cubic
volume	41.10	A^3/atom



[3]
First-principles (PBE) data for a geometry-optimized RbAlPb2 structure, as listed in Alexandria via LeMat-Bulk.

Geometry as POSCAR:
```
RbAlPb2
1.0
-4.120 1.525 -1.852
-4.057 -2.296 0.999
-3.755 4.128 5.617
Al Rb Pb
1 1 2
Direct
0.000 0.000 0.000
0.500 0.500 0.500
0.716 0.716 0.852
0.284 0.284 0.148
```

DOS(E_F)	1.80	states/eV/f.u.
ΔH_f (0 K)	0.038	eV per atom
crystal system	trigonal
volume	36.52	A^3/atom